# 1
Entry from the Alexandria database: a relaxed structure of Mg2InN (PBE).

Calculated values
raw total energy	-3.789	eV/atom
symmetry	I-42d (122)
ΔE to the lowest computed polymorph	231.4	meV per atom
magnetic moment	0.00	μB/f.u.
DOS at the Fermi energy	0.07	states/eV/atom

Structure (CIF):
```
data_Mg2InN
_symmetry_space_group_name_H-M 'P 1'
_symmetry_Int_Tables_number 1
_cell_length_a 6.1729
_cell_length_b 6.1729
_cell_length_c 6.1729
_cell_angle_alpha 119.30
_cell_angle_beta 119.30
_cell_angle_gamma 91.22
loop_
_symmetry_equiv_pos_as_xyz
'x,y,z'
loop_
_atom_site_label
_atom_site_type_symbol
_atom_site_fract_x
_atom_site_fract_y
_atom_site_fract_z
Mg1 Mg 0.3750 0.0347 0.1597
Mg2 Mg 0.7847 0.6250 0.6597
Mg3 Mg 0.8750 0.2153 0.8403
Mg4 Mg 0.9653 0.1250 0.3403
In1 In 0.2500 0.7500 0.5000
In2 In 0.5000 0.5000 0.0000
N1 N 0.0000 0.0000 0.0000
N2 N 0.7500 0.2500 0.5000
```

***

# 2
Entry from the Alexandria database: a relaxed structure of MgIn2N (PBE).

Calculated values
raw total energy	-3.643	eV/atom
symmetry	I-42d (122)
ΔE to the lowest computed polymorph	0.0	meV per atom
magnetic moment	0.00	μB/f.u.
DOS at the Fermi energy	0.44	states/eV/atom

Structure (CIF):
```
data_MgIn2N
_symmetry_space_group_name_H-M 'P 1'
_symmetry_Int_Tables_number 1
_cell_length_a 6.6284
_cell_length_b 6.6284
_cell_length_c 6.6284
_cell_angle_alpha 95.61
_cell_angle_beta 95.61
_cell_angle_gamma 143.57
loop_
_symmetry_equiv_pos_as_xyz
'x,y,z'
loop_
_atom_site_label
_atom_site_type_symbol
_atom_site_fract_x
_atom_site_fract_y
_atom_site_fract_z
Mg1 Mg 0.0000 0.0000 0.0000
Mg2 Mg 0.7500 0.2500 0.5000
In1 In 0.2434 0.1250 0.6184
In2 In 0.3750 0.7566 0.8816
In3 In 0.5066 0.6250 0.3816
In4 In 0.8750 0.4934 0.1184
N1 N 0.2500 0.7500 0.5000
N2 N 0.5000 0.5000 0.0000
```

***

# 3
Entry from the Alexandria database: a relaxed structure of Mg2InN (PBE).

Calculated values
raw total energy	-4.020	eV/atom
symmetry	R-3m (166)
ΔE to the lowest computed polymorph	0.0	meV per atom
magnetic moment	0.00	μB/f.u.
DOS at the Fermi energy	0.36	states/eV/atom

Structure (CIF):
```
data_Mg2InN
_symmetry_space_group_name_H-M 'P 1'
_symmetry_Int_Tables_number 1
_cell_length_a 7.7929
_cell_length_b 7.7929
_cell_length_c 7.7929
_cell_angle_alpha 24.11
_cell_angle_beta 24.11
_cell_angle_gamma 24.11
loop_
_symmetry_equiv_pos_as_xyz
'x,y,z'
loop_
_atom_site_label
_atom_site_type_symbol
_atom_site_fract_x
_atom_site_fract_y
_atom_site_fract_z
Mg1 Mg 0.2123 0.2123 0.2123
Mg2 Mg 0.7877 0.7877 0.7877
In1 In 0.0000 0.0000 0.0000
N1 N 0.5000 0.5000 0.5000
```

***

# 4
Entry from the Alexandria database: a relaxed structure of MgInN2 (PBE).

Calculated values
raw total energy	-4.684	eV/atom
symmetry	R-3m (166)
magnetic moment	0.91	μB/f.u.
DOS at the Fermi energy	0.55	states/eV/atom

Structure (CIF):
```
data_MgInN2
_symmetry_space_group_name_H-M 'P 1'
_symmetry_Int_Tables_number 1
_cell_length_a 6.4306
_cell_length_b 6.4306
_cell_length_c 6.4306
_cell_angle_alpha 30.78
_cell_angle_beta 30.78
_cell_angle_gamma 30.78
loop_
_symmetry_equiv_pos_as_xyz
'x,y,z'
loop_
_atom_site_label
_atom_site_type_symbol
_atom_site_fract_x
_atom_site_fract_y
_atom_site_fract_z
Mg1 Mg 0.0000 0.0000 0.0000
In1 In 0.5000 0.5000 0.5000
N1 N 0.3921 0.3921 0.3921
N2 N 0.6079 0.6079 0.6079
```

***

# 5
Entry from the Alexandria database: a relaxed structure of Mg3InN (PBE).

Calculated values
raw total energy	-3.503	eV/atom
symmetry	Pm-3m (221)
ΔE to the lowest computed polymorph	0.0	meV per atom
magnetic moment	0.00	μB/f.u.
DOS at the Fermi energy	0.30	states/eV/atom

Structure (CIF):
```
data_Mg3InN
_symmetry_space_group_name_H-M 'P 1'
_symmetry_Int_Tables_number 1
_cell_length_a 4.4014
_cell_length_b 4.4014
_cell_length_c 4.4014
_cell_angle_alpha 90.00
_cell_angle_beta 90.00
_cell_angle_gamma 90.00
loop_
_symmetry_equiv_pos_as_xyz
'x,y,z'
loop_
_atom_site_label
_atom_site_type_symbol
_atom_site_fract_x
_atom_site_fract_y
_atom_site_fract_z
Mg1 Mg 0.0000 0.0000 0.5000
Mg2 Mg 0.0000 0.5000 0.0000
Mg3 Mg 0.5000 0.0000 0.0000
In1 In 0.5000 0.5000 0.5000
N1 N 0.0000 0.0000 0.0000
```

***

# 6
Entry from the Alexandria database: a relaxed structure of MgInN2 (PBE).

Calculated values
raw total energy	-4.680	eV/atom
symmetry	R-3m (166)
magnetic moment	1.00	μB/f.u.
DOS at the Fermi energy	0.39	states/eV/atom

Structure (CIF):
```
data_MgInN2
_symmetry_space_group_name_H-M 'P 1'
_symmetry_Int_Tables_number 1
_cell_length_a 6.5213
_cell_length_b 6.5213
_cell_length_c 6.5213
_cell_angle_alpha 30.49
_cell_angle_beta 30.49
_cell_angle_gamma 30.49
loop_
_symmetry_equiv_pos_as_xyz
'x,y,z'
loop_
_atom_site_label
_atom_site_type_symbol
_atom_site_fract_x
_atom_site_fract_y
_atom_site_fract_z
Mg1 Mg 0.0000 0.0000 0.0000
In1 In 0.5000 0.5000 0.5000
N1 N 0.1048 0.1048 0.1048
N2 N 0.8952 0.8952 0.8952
```

***

DOS at the Fermi energy of number 3 (Mg2InN)?
0.36 states/eV/atom